! PBE-GGA Tl2Pb2Br, optimized geometry; values from VASP
&SYSTEM
  ibrav = 0, nat = 10, ntyp = 3
/
ATOMIC_SPECIES
Tl 204.38 Tl.upf
Pb 207.20 Pb.upf
Br 79.90 Br.upf
CELL_PARAMETERS angstrom
-7.098 3.537 3.895
-5.169 -3.470 -6.270
-0.468 -3.490 2.317
ATOMIC_POSITIONS crystal
Tl 0.326 0.174 0.500
Tl 0.826 0.326 0.500
Tl 0.674 0.826 0.500
Tl 0.174 0.674 0.500
Pb 0.631 0.131 0.000
Pb 0.369 0.869 0.000
Pb 0.869 0.631 0.000
Pb 0.131 0.369 0.000
Br 0.500 0.500 0.000
Br 0.000 0.000 0.000
! Magnetic moment   0.0 Bohr magnetons per cell
! Energy   -28.59 eV for the cell shown
! Density   9114 kg/m3